No. 1
VASP calculation (PBE) on a geometry-optimized Li2TbTl2 structure.

Unit cell a=5.2382 b=5.2382 c=5.2311 alpha=70.59 beta=70.59 gamma=57.51
Fractional positions:
Tl: 0.7558 0.2558 0.3088
Li: 0.1126 0.6126 0.2641
Tl: 0.2442 0.7442 0.6912
Tb: 0.5000 0.0000 0.0000
Li: 0.8874 0.3874 0.7359

Results
Total DFT energy (no corrections) = -2.852 eV/atom
Calculated formation energy = -0.214 eV per atom
Calculated volume = 112.0 Å³/cell
E above lowest polymorph = 7 meV per atom



No. 2
VASP calculation (PBE) on a geometry-optimized LiTb2Tl2 structure.

Unit cell a=6.3227 b=6.6315 c=7.9361 alpha=114.70 beta=113.48 gamma=90.00
Fractional positions:
Li: 0.2500 0.5000 0.0000
Tb: 0.8487 0.6402 0.6975
Tb: 0.6513 0.9427 0.3025
Li: 0.7500 0.5000 0.0000
Tb: 0.3487 0.0573 0.6975
Tl: 0.3908 0.6276 0.7815
Tb: 0.1513 0.3598 0.3025
Tl: 0.6092 0.3724 0.2185
Tl: 0.8908 0.1539 0.7815
Tl: 0.1092 0.8461 0.2185

Results
Total DFT energy (no corrections) = -3.322 eV/atom
Calculated formation energy = -0.141 eV per atom
Calculated volume = 271.7 Å³/cell
E above lowest polymorph = 140 meV per atom



No. 3
VASP calculation (PBE) on a geometry-optimized Li4TbTl3 structure.

Unit cell a=4.8715 b=4.8715 c=8.8116 alpha=73.95 beta=73.95 gamma=60.00
Fractional positions:
Tb: 0.0000 0.0000 0.0000
Tl: 0.7359 0.7359 0.7922
Tl: 0.5000 0.5000 0.5000
Tl: 0.2641 0.2641 0.2078
Li: 0.3914 0.3914 0.8259
Li: 0.6086 0.6086 0.1741
Li: 0.8695 0.8695 0.3914
Li: 0.1305 0.1305 0.6086

Results
Total DFT energy (no corrections) = -2.648 eV/atom
Calculated formation energy = -0.225 eV per atom
Calculated volume = 171.6 Å³/cell